1.
DFT (PBE-GGA) results for an optimized crystal structure of LaZr2Ta.

Summary:
The magnetic moment comes out at 0.000 μB/atom. The calculation puts the volume at 97.36 Å³/cell.

Geometry as POSCAR:
```
LaZr2Ta
1.0
3.1300 0.0000 0.0000
0.0000 3.1300 0.0000
0.0000 0.0000 9.9377
La Zr Ta
1 2 1
direct
0.0000 0.0000 0.0000 La
0.0000 0.0000 0.4684 Zr
0.5000 0.5000 0.7002 Zr
0.5000 0.5000 0.2518 Ta
```

2.
DFT (PBE-GGA) results for an optimized crystal structure of LaZr2Ta.

Summary:
The magnetic moment comes out at 0.000 μB/atom. The calculation puts the volume at 95.76 Å³/cell.

Geometry as POSCAR:
```
LaZr2Ta
1.0
1.6065 0.9275 10.7117
-1.6065 0.9275 10.7117
0.0000 -1.8550 10.7117
La Zr Ta
1 2 1
direct
0.0000 0.0000 0.0000 La
0.2400 0.2400 0.2400 Zr
0.4925 0.4925 0.4925 Zr
0.7514 0.7514 0.7514 Ta
```

3.
DFT (PBE-GGA) results for an optimized crystal structure of LaZrTa3.

Summary:
The offset from the most stable computed form is 0.000 eV/atom. The magnetic moment comes out at 0.000 μB/atom. The calculation puts the volume at 128.18 Å³/cell.

Geometry as POSCAR:
```
LaZrTa3
1.0
5.0420 0.0000 0.0000
0.0000 5.0420 0.0000
0.0000 0.0000 5.0420
La Zr Ta
1 1 3
direct
0.0000 0.0000 0.0000 La
0.5000 0.5000 0.5000 Zr
0.0000 0.5000 0.5000 Ta
0.5000 0.0000 0.5000 Ta
0.5000 0.5000 0.0000 Ta
```

4.
DFT (PBE-GGA) results for an optimized crystal structure of La2ZrTa.

Summary:
The offset from the most stable computed form is 0.000 eV/atom. The magnetic moment comes out at 0.000 μB/atom. The calculation puts the volume at 113.09 Å³/cell.

Geometry as POSCAR:
```
La2ZrTa
1.0
3.7829 0.0000 0.0000
0.0000 3.7829 0.0000
0.0000 0.0000 7.9026
La Zr Ta
2 1 1
direct
0.0000 0.0000 0.0000 La
0.5000 0.5000 0.3279 La
0.5000 0.5000 0.7331 Zr
0.0000 0.0000 0.5867 Ta
```

5.
DFT (PBE-GGA) results for an optimized crystal structure of La2ZrTa.

Summary:
The offset from the most stable computed form is 0.204 eV/atom. The magnetic moment comes out at 0.000 μB/atom. The calculation puts the volume at 104.92 Å³/cell.

Geometry as POSCAR:
```
La2ZrTa
1.0
4.4980 0.0000 0.0000
0.0000 4.4980 0.0000
0.0000 0.0000 5.1856
La Zr Ta
2 1 1
direct
0.0000 0.5000 0.0000 La
0.5000 0.0000 0.0000 La
0.0000 0.0000 0.5000 Zr
0.5000 0.5000 0.5000 Ta
```

6.
DFT (PBE-GGA) results for an optimized crystal structure of La2ZrTa.

Summary:
The offset from the most stable computed form is 0.206 eV/atom. The magnetic moment comes out at 0.000 μB/atom. The calculation puts the volume at 104.98 Å³/cell.

Geometry as POSCAR:
```
La2ZrTa
1.0
3.1901 0.0000 0.0000
0.0000 5.1346 0.0000
-0.0445 0.0000 6.4090
La Zr Ta
2 1 1
direct
0.0028 0.0000 0.2588 La
0.9972 0.0000 0.7412 La
0.5000 0.5000 0.0000 Zr
0.5000 0.5000 0.5000 Ta
```

7.
DFT (PBE-GGA) results for an optimized crystal structure of LaZr3Ta.

Summary:
The offset from the most stable computed form is 0.979 eV/atom. The magnetic moment comes out at 0.151 μB/atom. The calculation puts the volume at 129.72 Å³/cell.

Geometry as POSCAR:
```
LaZr3Ta
1.0
5.0622 0.0000 0.0000
0.0000 5.0622 0.0000
0.0000 0.0000 5.0622
La Zr Ta
1 3 1
direct
0.0000 0.0000 0.0000 La
0.0000 0.0000 0.5000 Zr
0.0000 0.5000 0.0000 Zr
0.5000 0.0000 0.0000 Zr
0.5000 0.5000 0.5000 Ta
```

8.
DFT (PBE-GGA) results for an optimized crystal structure of LaZrTa.

Summary:
The offset from the most stable computed form is 0.000 eV/atom. The magnetic moment comes out at 0.000 μB/atom. The calculation puts the volume at 75.05 Å³/cell.

Geometry as POSCAR:
```
LaZrTa
1.0
-1.5586 1.5586 7.7236
1.5586 -1.5586 7.7236
1.5586 1.5586 -7.7236
La Zr Ta
1 1 1
direct
0.0000 0.0000 0.0000 La
0.7032 0.7032 0.0000 Zr
0.3381 0.3381 0.0000 Ta
```

9.
DFT (PBE-GGA) results for an optimized crystal structure of La3Tb13.

Summary:
The offset from the most stable computed form is 0.000 eV/atom. The magnetic moment comes out at 0.000 μB/atom. The calculation puts the volume at 526.70 Å³/cell.

Geometry as POSCAR:
```
La3Tb13
1.0
10.1903 0.0000 0.0000
0.0000 5.0743 5.0930
0.0000 -5.0743 5.0930
La Tb
3 13
direct
0.0000 0.0000 0.0000 La
0.2504 0.2540 0.2540 La
0.7496 0.2540 0.2540 La
0.0000 0.0007 0.5044 Tb
0.0000 0.5044 0.0007 Tb
0.0000 0.5055 0.5055 Tb
0.2519 0.2533 0.7523 Tb
0.2519 0.7523 0.2533 Tb
0.2525 0.7514 0.7514 Tb
0.5000 0.0006 0.0006 Tb
0.5000 0.0009 0.5055 Tb
0.5000 0.5055 0.0009 Tb
0.5000 0.5059 0.5059 Tb
0.7475 0.7514 0.7514 Tb
0.7481 0.2533 0.7523 Tb
0.7481 0.7523 0.2533 Tb
```

10.
DFT (PBE-GGA) results for an optimized crystal structure of La3Tb5.

Summary:
The offset from the most stable computed form is 0.003 eV/atom. The magnetic moment comes out at 0.000 μB/atom. The calculation puts the volume at 271.51 Å³/cell.

Geometry as POSCAR:
```
La3Tb5
1.0
3.6529 0.0000 0.0000
0.0000 3.6529 0.0000
0.0000 0.0000 20.3476
La Tb
3 5
direct
0.0000 0.0000 0.0000 La
0.5000 0.5000 0.3743 La
0.5000 0.5000 0.6257 La
0.0000 0.0000 0.2473 Tb
0.0000 0.0000 0.5000 Tb
0.0000 0.0000 0.7527 Tb
0.5000 0.5000 0.1269 Tb
0.5000 0.5000 0.8731 Tb
```

11.
DFT (PBE-GGA) results for an optimized crystal structure of La13Tb3.

Summary:
The magnetic moment comes out at 0.000 μB/atom. The calculation puts the volume at 570.70 Å³/cell.

Geometry as POSCAR:
```
La13Tb3
1.0
10.5637 0.0000 0.0000
0.0000 5.1881 5.2066
0.0000 -5.1881 5.2066
La Tb
13 3
direct
0.0000 0.0000 0.0000 La
0.0000 0.0021 0.4930 La
0.0000 0.4930 0.0021 La
0.0000 0.4948 0.4948 La
0.2470 0.7482 0.7482 La
0.2523 0.2460 0.7482 La
0.2523 0.7482 0.2460 La
0.5000 0.4966 0.4966 La
0.5000 0.4970 0.9969 La
0.5000 0.9969 0.4970 La
0.7477 0.2460 0.7482 La
0.7477 0.7482 0.2460 La
0.7530 0.7482 0.7482 La
0.2547 0.2461 0.2461 Tb
0.5000 0.9984 0.9984 Tb
0.7453 0.2461 0.2461 Tb
```

12.
DFT (PBE-GGA) results for an optimized crystal structure of La4Tb.

Summary:
The offset from the most stable computed form is 0.000 eV/atom. The magnetic moment comes out at 0.000 μB/atom. The calculation puts the volume at 179.00 Å³/cell.

Geometry as POSCAR:
```
La4Tb
1.0
-1.8565 1.8565 12.9840
1.8565 -1.8565 12.9840
1.8565 1.8565 -12.9840
La Tb
4 1
direct
0.0975 0.0975 0.0000 La
0.3018 0.3018 0.0000 La
0.6982 0.6982 0.0000 La
0.9025 0.9025 0.0000 La
0.5000 0.5000 0.0000 Tb
```

no.,energy of formation (eV/f.u.)
1,1.13
2,1.33
3,6.84
4,0.97
5,1.79
6,1.79
7,8.03
8,0.98
9,0.33
10,0.22
11,0.18
12,0.10